A relaxed Mn3MoF crystal, computed with PBE with a Hubbard U.

Distance to the lowest polymorph of the same formula   0.000 eV/f.u.
SG   Pm-3m
M_tot   10.20 μB/cell
ρ   5.0 Mg/m³
Calculated volume   18.62 Å³ per atom

a = 4.532 Å, b = 4.532 Å, c = 4.532 Å
α = 90.00°, β = 90.00°, γ = 90.00°
Element x y z (fractional)
Mn (0.000, 0.000, 0.500)
Mn (0.000, 0.500, 0.000)
Mn (0.500, 0.000, 0.000)
Mo (0.500, 0.500, 0.500)
F (0.000, 0.000, 0.000)